(1)
The following is a DFT calculation (PBE) of Dy6Fe2Cu after structural relaxation.

Output
Calculated formation energy in eV per atom: -0.05
Energy in eV per atom: -5.454
Spin magnetization in Bohr magnetons per cell: 3.8

CIF file:
```
data_Dy6Fe2Cu
_chemical_formula_sum 'Dy24 Fe8 Cu4'
_symmetry_space_group_name_H-M 'I m m m'
_symmetry_Int_Tables_number 71
_symmetry_space_group_name_Hall '-I 2 2'
_cell_length_a 9.3769
_cell_length_b 9.4204
_cell_length_c 9.7769
_cell_angle_alpha 90.00
_cell_angle_beta 90.00
_cell_angle_gamma 90.00
loop_
_atom_site_label
_atom_site_type_symbol
_atom_site_fract_x
_atom_site_fract_y
_atom_site_fract_z
_atom_site_occupancy
Dy1 Dy 0.0000 0.2027 0.2206 1
Dy2 Dy 0.2038 0.5000 0.1847 1
Dy3 Dy 0.2125 0.3147 0.5000 1
Fe1 Fe 0.0000 0.3829 0.0000 1
Fe2 Fe 0.0000 0.5000 0.3898 1
Cu1 Cu 0.0000 0.0000 0.0000 1
Cu2 Cu 0.0000 0.0000 0.5000 1
```

(2)
The following is a DFT calculation (PBE) of Zr3CuRu after structural relaxation.

Output
Calculated formation energy in eV per atom: -0.30
Energy in eV per atom: -8.102
Offset from the most stable computed form in eV per atom: 0.000
Spin magnetization in Bohr magnetons per cell: 0.0

CIF file:
```
data_Zr3CuRu
_chemical_formula_sum 'Zr12 Cu4 Ru4'
_symmetry_space_group_name_H-M 'C m c m'
_symmetry_Int_Tables_number 63
_symmetry_space_group_name_Hall '-C 2c 2'
_cell_length_a 4.6531
_cell_length_b 17.3174
_cell_length_c 4.6661
_cell_angle_alpha 90.00
_cell_angle_beta 90.00
_cell_angle_gamma 90.00
loop_
_atom_site_label
_atom_site_type_symbol
_atom_site_fract_x
_atom_site_fract_y
_atom_site_fract_z
_atom_site_occupancy
Zr1 Zr 0.0000 0.0607 0.2500 1
Zr2 Zr 0.0000 0.2497 0.2500 1
Zr3 Zr 0.0000 0.4394 0.2500 1
Cu1 Cu 0.0000 0.1543 0.7500 1
Ru1 Ru 0.0000 0.3417 0.7500 1
```

(3)
The following is a DFT calculation (PBE) of BPtRh2 after structural relaxation.

Output
Calculated formation energy in eV per atom: -0.11
Energy in eV per atom: -6.969
Spin magnetization in Bohr magnetons per cell: 0.0

CIF file:
```
data_BPtRh2
_chemical_formula_sum 'B4 Pt4 Rh8'
_symmetry_space_group_name_H-M 'C 1 2/m 1'
_symmetry_Int_Tables_number 12
_cell_length_a 12.9587
_cell_length_b 2.9379
_cell_length_c 5.6438
_cell_angle_alpha 90.00
_cell_angle_beta 95.28
_cell_angle_gamma 90.00
loop_
_symmetry_equiv_pos_as_xyz
'x,y,z'
'-x,-y,-z'
'-x,y,-z'
'x,-y,z'
'x+1/2,y+1/2,z'
'-x+1/2,-y+1/2,-z'
'-x+1/2,y+1/2,-z'
'x+1/2,-y+1/2,z'
loop_
_atom_site_label
_atom_site_type_symbol
_atom_site_fract_x
_atom_site_fract_y
_atom_site_fract_z
_atom_site_occupancy
B1 B 0.2302 0.0000 0.2464 1
Pt1 Pt 0.0109 0.0000 0.2500 1
Rh1 Rh 0.1548 0.5000 0.0356 1
Rh2 Rh 0.1727 0.0000 0.5899 1
```

(4)
The following is a DFT calculation (PBE) of P3IrF after structural relaxation.

Output
Energy relative to the elements, uncorrected in meV per atom: 905
Energy in eV per atom: -4.487
Offset from the most stable computed form in eV per atom: 0.323
Spin magnetization in Bohr magnetons per cell: 0.0

CIF file:
```
data_P3IrF
_chemical_formula_sum 'P3 Ir1 F1'
_symmetry_space_group_name_H-M 'P m -3 m'
_symmetry_Int_Tables_number 221
_symmetry_space_group_name_Hall '-P 4 2 3'
_cell_length_a 4.2077
_cell_length_b 4.2077
_cell_length_c 4.2077
_cell_angle_alpha 90.00
_cell_angle_beta 90.00
_cell_angle_gamma 90.00
loop_
_atom_site_label
_atom_site_type_symbol
_atom_site_fract_x
_atom_site_fract_y
_atom_site_fract_z
_atom_site_occupancy
P1 P 0.0000 0.0000 0.5000 1
Ir1 Ir 0.5000 0.5000 0.5000 1
F1 F 0.0000 0.0000 0.0000 1
```

(5)
The following is a DFT calculation (PBE) of P2C after structural relaxation.

Output
Calculated formation energy in eV per atom: 1.08
Energy in eV per atom: -5.599
Offset from the most stable computed form in eV per atom: 0.651
Spin magnetization in Bohr magnetons per cell: 0.0

CIF file:
```
data_P2C
_chemical_formula_sum 'P2 C1'
_symmetry_space_group_name_H-M 'P -3 m 1'
_symmetry_Int_Tables_number 164
_symmetry_space_group_name_Hall '-P 3 2"'
_cell_length_a 3.1267
_cell_length_b 3.1267
_cell_length_c 3.8802
_cell_angle_alpha 90.00
_cell_angle_beta 90.00
_cell_angle_gamma 120.00
loop_
_atom_site_label
_atom_site_type_symbol
_atom_site_fract_x
_atom_site_fract_y
_atom_site_fract_z
_atom_site_occupancy
P1 P 0.3333 0.6667 0.3114 1
C1 C 0.0000 0.0000 0.0000 1
```

(6)
The following is a DFT calculation (PBE) of HfGa2Cu2 after structural relaxation.

Output
Calculated formation energy in eV per atom: -0.17
Energy in eV per atom: -5.014
Spin magnetization in Bohr magnetons per cell: 0.0

CIF file:
```
data_HfGa2Cu2
_chemical_formula_sum 'Hf2 Ga4 Cu4'
_symmetry_space_group_name_H-M 'I 4/m m m'
_symmetry_Int_Tables_number 139
_symmetry_space_group_name_Hall '-I 4 2'
_cell_length_a 3.8025
_cell_length_b 3.8025
_cell_length_c 10.8053
_cell_angle_alpha 90.00
_cell_angle_beta 90.00
_cell_angle_gamma 90.00
loop_
_atom_site_label
_atom_site_type_symbol
_atom_site_fract_x
_atom_site_fract_y
_atom_site_fract_z
_atom_site_occupancy
Hf1 Hf 0.0000 0.0000 0.0000 1
Ga1 Ga 0.0000 0.5000 0.2500 1
Cu1 Cu 0.0000 0.0000 0.3943 1
```

(7)
The following is a DFT calculation (PBE) of RbCd2SiPt after structural relaxation.

Output
Energy relative to the elements, uncorrected in meV per atom: -125
Energy in eV per atom: -2.977
Spin magnetization in Bohr magnetons per cell: 0.0

CIF file:
```
data_RbCd2SiPt
_chemical_formula_sum 'Rb1 Cd2 Si1 Pt1'
_symmetry_space_group_name_H-M 'P 4/m m m'
_symmetry_Int_Tables_number 123
_symmetry_space_group_name_Hall '-P 4 2'
_cell_length_a 5.3823
_cell_length_b 5.3823
_cell_length_c 4.7010
_cell_angle_alpha 90.00
_cell_angle_beta 90.00
_cell_angle_gamma 90.00
loop_
_atom_site_label
_atom_site_type_symbol
_atom_site_fract_x
_atom_site_fract_y
_atom_site_fract_z
_atom_site_occupancy
Rb1 Rb 0.0000 0.0000 0.0000 1
Cd1 Cd 0.0000 0.5000 0.5000 1
Si1 Si 0.5000 0.5000 0.0000 1
Pt1 Pt 0.5000 0.5000 0.5000 1
```

(8)
The following is a DFT calculation (PBE) of Ba2CaEr2Pb5 after structural relaxation.

Output
Calculated formation energy in eV per atom: -0.41
Energy in eV per atom: -3.763
Spin magnetization in Bohr magnetons per cell: 0.0

CIF file:
```
data_Ba2CaEr2Pb5
_chemical_formula_sum 'Ba4 Ca2 Er4 Pb10'
_symmetry_space_group_name_H-M 'P 4/m b m'
_symmetry_Int_Tables_number 127
_symmetry_space_group_name_Hall '-P 4 2ab'
_cell_length_a 12.0625
_cell_length_b 12.0625
_cell_length_c 4.5826
_cell_angle_alpha 90.00
_cell_angle_beta 90.00
_cell_angle_gamma 90.00
loop_
_atom_site_label
_atom_site_type_symbol
_atom_site_fract_x
_atom_site_fract_y
_atom_site_fract_z
_atom_site_occupancy
Ba1 Ba 0.1775 0.3225 0.0000 1
Ca1 Ca 0.0000 0.0000 0.0000 1
Er1 Er 0.1236 0.6236 0.0000 1
Pb1 Pb 0.0000 0.5000 0.5000 1
Pb2 Pb 0.0632 0.8039 0.5000 1
```

(9)
The following is a DFT calculation (PBE) of Sc4CdGa2Rh after structural relaxation.

Output
Calculated formation energy in eV per atom: -0.62
Energy in eV per atom: -5.573
Spin magnetization in Bohr magnetons per cell: 0.0

CIF file:
```
data_Sc4CdGa2Rh
_chemical_formula_sum 'Sc12 Cd3 Ga6 Rh3'
_symmetry_space_group_name_H-M 'R -3 m'
_symmetry_Int_Tables_number 166
_symmetry_space_group_name_Hall '-R 3 2"'
_cell_length_a 4.7771
_cell_length_b 4.7771
_cell_length_c 23.2669
_cell_angle_alpha 90.00
_cell_angle_beta 90.00
_cell_angle_gamma 120.00
loop_
_atom_site_label
_atom_site_type_symbol
_atom_site_fract_x
_atom_site_fract_y
_atom_site_fract_z
_atom_site_occupancy
Sc1 Sc 0.0000 0.0000 0.1175 1
Sc2 Sc 0.0000 0.0000 0.3699 1
Cd1 Cd 0.0000 0.0000 0.5000 1
Ga1 Ga 0.0000 0.0000 0.2462 1
Rh1 Rh 0.0000 0.0000 0.0000 1
```

(10)
The following is a DFT calculation (PBE) of LaLuThMg after structural relaxation.

Output
Calculated formation energy in eV per atom: 0.08
Energy in eV per atom: -4.538
Spin magnetization in Bohr magnetons per cell: 0.0

CIF file:
```
data_LaLuThMg
_chemical_formula_sum 'La4 Lu4 Th4 Mg4'
_symmetry_space_group_name_H-M 'F -4 3 m'
_symmetry_Int_Tables_number 216
_symmetry_space_group_name_Hall 'F -4 2 3'
_cell_length_a 7.8873
_cell_length_b 7.8873
_cell_length_c 7.8873
_cell_angle_alpha 90.00
_cell_angle_beta 90.00
_cell_angle_gamma 90.00
loop_
_atom_site_label
_atom_site_type_symbol
_atom_site_fract_x
_atom_site_fract_y
_atom_site_fract_z
_atom_site_occupancy
La1 La 0.0000 0.0000 0.0000 1
Lu1 Lu 0.2500 0.2500 0.2500 1
Th1 Th 0.0000 0.0000 0.5000 1
Mg1 Mg 0.2500 0.2500 0.7500 1
```

(11)
The following is a DFT calculation (PBE) of Rh2C after structural relaxation.

Output
Calculated formation energy in eV per atom: 0.41
Energy in eV per atom: -7.561
Offset from the most stable computed form in eV per atom: 0.223
Spin magnetization in Bohr magnetons per cell: 0.0

CIF file:
```
data_Rh2C
_chemical_formula_sum 'Rh8 C4'
_symmetry_space_group_name_H-M 'C 1 2/m 1'
_symmetry_Int_Tables_number 12
_cell_length_a 9.6183
_cell_length_b 2.9538
_cell_length_c 7.1553
_cell_angle_alpha 90.00
_cell_angle_beta 132.19
_cell_angle_gamma 90.00
loop_
_symmetry_equiv_pos_as_xyz
'x,y,z'
'-x,-y,-z'
'-x,y,-z'
'x,-y,z'
'x+1/2,y+1/2,z'
'-x+1/2,-y+1/2,-z'
'-x+1/2,y+1/2,-z'
'x+1/2,-y+1/2,z'
loop_
_atom_site_label
_atom_site_type_symbol
_atom_site_fract_x
_atom_site_fract_y
_atom_site_fract_z
_atom_site_occupancy
Rh1 Rh 0.0795 0.0000 0.3707 1
Rh2 Rh 0.1962 0.5000 0.1130 1
C1 C 0.2205 0.5000 0.6506 1
```

(12)
The following is a DFT calculation (PBE) of Li2NiSe after structural relaxation.

Output
Energy relative to the elements, uncorrected in meV per atom: -489
Energy in eV per atom: -3.763
Spin magnetization in Bohr magnetons per cell: 0.0

CIF file:
```
data_Li2NiSe
_chemical_formula_sum 'Li4 Ni2 Se2'
_symmetry_space_group_name_H-M 'I -4 m 2'
_symmetry_Int_Tables_number 119
_symmetry_space_group_name_Hall 'I -4 -2'
_cell_length_a 3.9227
_cell_length_b 3.9227
_cell_length_c 6.6550
_cell_angle_alpha 90.00
_cell_angle_beta 90.00
_cell_angle_gamma 90.00
loop_
_atom_site_label
_atom_site_type_symbol
_atom_site_fract_x
_atom_site_fract_y
_atom_site_fract_z
_atom_site_occupancy
Li1 Li 0.0000 0.0000 0.0000 1
Li2 Li 0.0000 0.5000 0.2500 1
Ni1 Ni 0.0000 0.0000 0.5000 1
Se1 Se 0.0000 0.5000 0.7500 1
```